[1]
A plane-wave DFT calculation with PBE-GGA was carried out for crystalline Tl2AgSb2 at its relaxed geometry.

Computed properties:
The value obtained for the total magnetic moment is 0.00 μB/cell. For the uncorrected formation energy, the calculation gives 0.319 eV/atom. The value obtained for the total energy is -14.2 eV per cell.

Cell lengths 8.4518, 8.4518, 8.4518 Å; angles 149.84, 149.84, 43.17 degrees
Last column: nearest neighbours and their distance in Å.
Sites, in units of the cell vectors:
Tl 0.2500 0.7500 0.5000  4 Tl 3.11, 4 Sb 3.37
Tl 0.7500 0.2500 0.5000  4 Tl 3.11, 4 Sb 3.37
Ag 0.0000 0.0000 0.0000  8 Sb 3.40
Sb 0.4122 0.4122 0.0000  1 Sb 2.76
Sb 0.5878 0.5878 0.0000  1 Sb 2.76



[2]
A plane-wave DFT calculation with PBE-GGA was carried out for crystalline Be2RhPb at its relaxed geometry.

Computed properties:
The value obtained for the total magnetic moment is 0.00 μB/cell. The value obtained for the total energy is -18.7 eV per cell. For the formation energy, the calculation gives -0.037 eV per atom.

Cell lengths 5.8310, 5.8310, 5.8310 Å; angles 37.21, 37.21, 37.21 degrees
Last column: nearest neighbours and their distance in Å.
Sites, in units of the cell vectors:
Be 0.0000 0.0000 0.0000  3 Be 2.15, 3 Rh 2.31
Be 0.3272 0.3272 0.3272  3 Be 2.15, 3 Rh 2.27
Rh 0.6148 0.6148 0.6148  6 Be 2.27-2.31
Pb 0.8110 0.8110 0.8110  7 Be 3.07-3.26, 4 Rh 3.10-3.19



[3]
A plane-wave DFT calculation with PBE-GGA was carried out for crystalline Na3Zn2In5 at its relaxed geometry.

Computed properties:
The value obtained for the total magnetic moment is 0.00 μB/cell. The value obtained for the total energy is -40.6 eV per cell. For the formation energy, the calculation gives -0.010 eV per atom.

Cell lengths 9.6708, 9.6708, 9.6708 Å; angles 98.41, 95.50, 139.28 degrees
Last column: nearest neighbours and their distance in Å.
Sites, in units of the cell vectors:
Na 0.1233 0.7480 0.8713  1 Zn 3.24, 4 In 3.45-3.58
Na 0.2500 0.2500 0.0000  4 Zn 3.13, 2 In 3.20, 2 Na 3.36
Na 0.3767 0.2480 0.6247  1 Zn 3.24, 4 In 3.45-3.58
Na 0.6233 0.7520 0.3753  1 Zn 3.24, 4 In 3.45-3.58
Na 0.7500 0.7500 0.0000  4 Zn 3.13, 2 In 3.20, 2 Na 3.36
Na 0.8767 0.2520 0.1287  1 Zn 3.24, 4 In 3.45-3.58
Zn 0.1500 0.1409 0.2909  3 In 2.63-2.75
Zn 0.3500 0.6409 0.9908  3 In 2.63-2.75
Zn 0.6500 0.3591 0.0092  3 In 2.63-2.75
Zn 0.8500 0.8591 0.7091  3 In 2.63-2.75
In 0.0039 0.2500 0.7539  2 Zn 2.75, 2 In 3.05
In 0.1255 0.3476 0.4731  1 Zn 2.63
In 0.2500 0.7500 0.5000  8 In 3.03-3.36
In 0.3745 0.8476 0.2222  1 Zn 2.63
In 0.4961 0.2500 0.2461  2 Zn 2.75, 2 In 3.05
In 0.5039 0.7500 0.7539  2 Zn 2.75, 2 In 3.05
In 0.6255 0.1524 0.7778  1 Zn 2.63
In 0.7500 0.2500 0.5000  8 In 3.03-3.36
In 0.8745 0.6524 0.5269  1 Zn 2.63
In 0.9961 0.7500 0.2461  2 Zn 2.75, 2 In 3.05